Material: KRe2W
Method: DFT, GGA-PBE
State: relaxed

The structure belongs to space group Immm (No. 71); the cell edges are 2.871, 5.223 and 10.009 Å and the angles 90.00°, 90.00° and 90.00°. The distinct sites, in fractional coordinates, are K at (0.000, 0.000, 0.000), Re at (0.000, 0.500, 0.216) and W at (0.000, 0.000, 0.500).

The calculation puts the density of states at the Fermi level at 9.4 states/eV/cell. For the formation energy, the calculation gives 5.82 eV per formula unit.

---

Material: K2ReW
Method: DFT, GGA-PBE
State: relaxed

The structure belongs to space group Cmmm (No. 65); the cell edges are 5.365, 12.055 and 2.689 Å and the angles 90.00°, 90.00° and 90.00°. The distinct sites, in fractional coordinates, are K at (0.250, 0.250, 0.000), Re at (0.000, 0.000, 0.500) and W at (0.000, 0.500, 0.500).

The calculation puts the density of states at the Fermi level at 11.3 states/eV/cell. For the formation energy, the calculation gives 6.28 eV per formula unit.

---

Material: KReW2
Method: DFT, GGA-PBE
State: relaxed

The structure belongs to space group Cm (No. 8); the cell edges are 9.128, 2.709 and 7.481 Å and the angles 90.00°, 91.29° and 90.00°. The distinct sites, in fractional coordinates, are K at (0.000, 0.000, 0.000), Re at (0.241, 0.000, 0.655), W at (0.260, 0.500, 0.352) and W at (0.498, 0.000, 0.515).

The calculation puts the density of states at the Fermi level at 8.3 states/eV/cell. For the formation energy, the calculation gives 4.93 eV per formula unit.

---

Material: KReW
Method: DFT, GGA-PBE
State: relaxed

The structure belongs to space group I4mm (No. 107); the cell edges are 2.674, 2.674 and 16.803 Å and the angles 90.00°, 90.00° and 90.00°. The distinct sites, in fractional coordinates, are K at (0.000, 0.000, 0.000), Re at (0.000, 0.000, 0.322) and W at (0.000, 0.000, 0.689).

The calculation puts the density of states at the Fermi level at 9.0 states/eV/cell. For the formation energy, the calculation gives 4.08 eV per formula unit.